CsKCo2As: optimized geometry, GGA-PBE.

Results
energy of formation: 0.511 eV/atom
SG: P4/mmm, No. 123
energy: -3.651 eV per atom

Cell lengths 4.672, 6.070, 4.672 Å; angles 90.00, 90.00, 90.00 degrees
Fractional coordinates of all 5 atoms:
1 Cs 0.500 0.500 0.500
2 As 0.000 0.000 0.000
3 Co 0.000 0.000 0.500
4 Co 0.500 0.000 0.000
5 K 0.000 0.500 0.000